Compound: SrCr2Rh
Source: the Alexandria database
Functional: GGA-PBE
Structure: relaxed

## Properties
E_tot = -26.012 eV/cell
density = 6.13 g/cm³
total moment = 0.000 μB/atom

Cell lengths 3.018, 4.574, 5.965 Å; angles 90.00, 104.44, 90.00 degrees
Positions (direct):
Sr (0.000, 0.000, 0.000)
Cr (0.268, 0.500, 0.627)
Cr (0.732, 0.500, 0.373)
Rh (0.500, 0.000, 0.500)

---

Compound: ScIn2AgRh
Source: the Alexandria database
Functional: GGA-PBE
Structure: relaxed

## Properties
E_tot = -20.971 eV/cell
density = 6.33 g/cm³
total moment = 0.131 μB/atom

Cell lengths 4.978, 4.978, 5.138 Å; angles 90.00, 90.00, 90.00 degrees
Positions (direct):
Sc (0.000, 0.000, 0.000)
In (0.000, 0.500, 0.500)
In (0.500, 0.000, 0.500)
Ag (0.500, 0.500, 0.000)
Rh (0.500, 0.500, 0.500)

---

Compound: Zr3Bi4Pd3
Source: the Alexandria database
Functional: GGA-PBE
Structure: relaxed

## Properties
E_tot = -122.165 eV/cell
density = 10.46 g/cm³
total moment = 0.000 μB/atom

Cell lengths 8.383, 8.383, 8.383 Å; angles 109.47, 109.47, 109.47 degrees
Positions (direct):
Zr (0.125, 0.750, 0.875)
Zr (0.250, 0.625, 0.375)
Zr (0.375, 0.250, 0.625)
Zr (0.625, 0.375, 0.250)
Zr (0.750, 0.875, 0.125)
Zr (0.875, 0.125, 0.750)
Bi (0.000, 0.313, 0.500)
Bi (0.000, 0.813, 0.500)
Bi (0.187, 0.187, 0.187)
Bi (0.313, 0.500, 0.000)
Bi (0.500, 0.000, 0.313)
Bi (0.500, 0.000, 0.813)
Bi (0.687, 0.687, 0.687)
Bi (0.813, 0.500, 0.000)
Pd (0.125, 0.875, 0.250)
Pd (0.250, 0.125, 0.875)
Pd (0.375, 0.625, 0.750)
Pd (0.625, 0.750, 0.375)
Pd (0.750, 0.375, 0.625)
Pd (0.875, 0.250, 0.125)

---

Compound: RbAcPb2
Source: the Alexandria database
Functional: GGA-PBE
Structure: relaxed

## Properties
E_tot = -13.109 eV/cell
density = 7.98 g/cm³
total moment = 0.000 μB/atom

Cell lengths 5.980, 5.980, 5.980 Å; angles 60.00, 60.00, 60.00 degrees
Positions (direct):
Rb (0.000, 0.000, 0.000)
Ac (0.500, 0.500, 0.500)
Pb (0.250, 0.250, 0.250)
Pb (0.750, 0.750, 0.750)

---

Compound: LiURh3
Source: the Alexandria database
Functional: GGA-PBE
Structure: relaxed

## Properties
E_tot = -75.080 eV/cell
density = 10.72 g/cm³
total moment = 0.045 μB/atom

Cell lengths 4.571, 5.652, 6.640 Å; angles 90.00, 90.00, 90.00 degrees
Positions (direct):
Li (0.250, 0.250, 0.144)
Li (0.750, 0.750, 0.856)
U (0.250, 0.750, 0.447)
U (0.750, 0.250, 0.553)
Rh (0.250, 0.009, 0.742)
Rh (0.250, 0.491, 0.742)
Rh (0.250, 0.750, 0.096)
Rh (0.750, 0.250, 0.904)
Rh (0.750, 0.509, 0.258)
Rh (0.750, 0.991, 0.258)

---

Compound: Cd2MoRu
Source: the Alexandria database
Functional: GGA-PBE
Structure: relaxed

## Properties
E_tot = -19.772 eV/cell
density = 10.05 g/cm³
total moment = 0.199 μB/atom

Cell lengths 5.326, 5.326, 5.326 Å; angles 136.89, 136.89, 62.60 degrees
Positions (direct):
Cd (0.250, 0.750, 0.500)
Cd (0.750, 0.250, 0.500)
Mo (0.000, 0.000, 0.000)
Ru (0.500, 0.500, 0.000)

---

What is the total moment in the third record? 0.000 μB/atom

---

Among the records above, which one has the lowest density? SrCr2Rh

---

What is the formula in the sixth record? Cd2MoRu